Material: Dy5Bi4N
Method: DFT, GGA-PBE
State: relaxed

The structure in POSCAR format:
```
Dy5Bi4N
1.0
-2.2014 -4.4129 3.9100
5.1069 -4.6901 2.6469
-0.0429 1.8921 7.1764
Bi Dy N
4 5 1
Direct
0.1950 0.2287 0.3923 Bi
0.5873 0.6077 0.2287 Bi
0.8160 0.7713 0.6077 Bi
0.4237 0.3923 0.7713 Bi
0.2519 0.8470 0.6535 Dy
0.7524 0.1530 0.3465 Dy
0.9054 0.3465 0.8470 Dy
0.4183 0.0000 0.0000 Dy
0.0989 0.6535 0.1530 Dy
0.0613 0.0000 0.0000 N
```

V ... 28.435 A^3/atom
Uncorrected formation energy ... -0.84 eV per atom